1.
DFT (meta-GGA SCAN) results for PWSeCl2 at its PBEsol-relaxed geometry.

E_tot = -21.750 eV/atom
Symmetry = P4/mmm
Uncorrected formation energy = 1.47 eV/atom
Density of states at the Fermi level = 3.230 states/eV/f.u.

POSCAR file:
```
PWSeCl2
1.0
4.6753 0.0000 0.0000
0.0000 4.6753 0.0000
0.0000 0.0000 5.0999
P W Se Cl
1 1 1 2
Cartesian
0.0000 0.0000 0.0000
2.3376 2.3376 0.0000
0.0000 0.0000 2.5500
0.0000 2.3376 2.5500
2.3376 0.0000 2.5500
```

2.
DFT (meta-GGA SCAN) results for P2WSeCl at its PBEsol-relaxed geometry.

E_tot = -22.014 eV/atom
Symmetry = P4/mmm
Uncorrected formation energy = 1.69 eV/atom
Density of states at the Fermi level = 2.007 states/eV/f.u.

POSCAR file:
```
P2WSeCl
1.0
4.6933 0.0000 0.0000
0.0000 4.6933 0.0000
0.0000 0.0000 4.5580
P W Se Cl
2 1 1 1
Cartesian
0.0000 2.3467 0.0000
2.3467 0.0000 0.0000
0.0000 0.0000 2.2790
2.3467 2.3467 0.0000
2.3467 2.3467 2.2790
```

3.
DFT (meta-GGA SCAN) results for YP2SeCl at its PBEsol-relaxed geometry.

E_tot = -15.187 eV/atom
Symmetry = P4/mmm
Uncorrected formation energy = 0.15 eV/atom
Density of states at the Fermi level = 3.126 states/eV/f.u.

POSCAR file:
```
YP2SeCl
1.0
5.3325 0.0000 0.0000
0.0000 5.3325 0.0000
0.0000 0.0000 4.9057
Y P Se Cl
1 2 1 1
Cartesian
0.0000 0.0000 0.0000
0.0000 2.6663 0.0000
2.6663 0.0000 0.0000
2.6663 2.6663 2.4528
0.0000 0.0000 2.4528
```

4.
DFT (meta-GGA SCAN) results for SiPCl2 at its PBEsol-relaxed geometry.

E_tot = -8.447 eV/atom
Symmetry = F-43m
Uncorrected formation energy = 0.65 eV/atom
Density of states at the Fermi level = 4.622 states/eV/f.u.
ΔE to the lowest computed polymorph = 1.465 eV/f.u.

POSCAR file:
```
SiPCl2
1.0
6.4286 0.0000 0.0000
0.0000 6.4286 0.0000
0.0000 0.0000 6.4286
Si P Cl
4 4 8
Cartesian
0.0000 0.0000 0.0000
0.0000 3.2143 3.2143
3.2143 0.0000 3.2143
3.2143 3.2143 0.0000
1.6072 1.6072 4.8215
1.6072 4.8215 1.6072
4.8215 1.6072 1.6072
4.8215 4.8215 4.8215
0.0000 0.0000 3.2143
0.0000 3.2143 0.0000
1.6072 1.6072 1.6072
1.6072 4.8215 4.8215
3.2143 0.0000 0.0000
3.2143 3.2143 3.2143
4.8215 1.6072 4.8215
4.8215 4.8215 1.6072
```